Entry 1:
Crystalline USnPt at its relaxed geometry, computed with PBE-GGA. Values from VASP.

Calculated values
Density: 14.3 g/cm³
Crystal system: hexagonal
DOS(E_F): 1.90 states/eV per atom
Space group: No. 187
VASP energy: -7.5522 eV/atom

Geometry as Quantum ESPRESSO input:
```
&SYSTEM
  ibrav = 0, nat = 3, ntyp = 3
/
ATOMIC_SPECIES
U 238.03 U.upf
Sn 118.71 Sn.upf
Pt 195.08 Pt.upf
ATOMIC_POSITIONS angstrom
U 0.000 0.000 0.000
Sn 0.000 2.762 1.618
Pt 2.392 1.381 1.618
CELL_PARAMETERS angstrom
4.783 0.000 0.000
-2.392 4.143 0.000
0.000 0.000 3.236
```

=====

Entry 2:
Crystalline NdZnCuPb at its relaxed geometry, computed with PBE-GGA. Values from VASP.

Calculated values
Density: 9.0 g/cm³
Crystal system: cubic
DOS(E_F): 0.48 states/eV per atom
Space group: No. 216
VASP energy: -3.6455 eV/atom

Geometry as Quantum ESPRESSO input:
```
&SYSTEM
  ibrav = 0, nat = 4, ntyp = 4
/
ATOMIC_SPECIES
Nd 144.24 Nd.upf
Zn 65.41 Zn.upf
Cu 63.55 Cu.upf
Pb 207.20 Pb.upf
ATOMIC_POSITIONS angstrom
Nd 0.000 0.000 0.000
Zn 5.303 5.303 5.303
Cu 1.768 1.768 1.768
Pb 3.535 3.535 3.535
CELL_PARAMETERS angstrom
0.000 3.535 3.535
3.535 0.000 3.535
3.535 3.535 0.000
```

=====

Entry 3:
Crystalline SiPbS2 at its relaxed geometry, computed with PBE-GGA. Values from VASP.

Calculated values
Density: 4.6 g/cm³
Crystal system: tetragonal
DOS(E_F): 0.37 states/eV per atom
Space group: No. 122
Formation energy without anion corrections: -29 meV/atom
VASP energy: -4.3753 eV/atom
ΔE to the lowest computed polymorph: 310 meV per atom

Geometry as Quantum ESPRESSO input:
```
&SYSTEM
  ibrav = 0, nat = 8, ntyp = 3
/
ATOMIC_SPECIES
Si 28.09 Si.upf
Pb 207.20 Pb.upf
S 32.06 S.upf
ATOMIC_POSITIONS angstrom
Si 0.000 0.000 0.000
Si 0.000 3.227 2.604
Pb 3.227 0.000 2.604
Pb 0.000 0.000 5.209
S 4.841 1.034 -1.302
S 1.034 1.614 1.302
S -1.614 2.193 3.906
S 2.193 1.614 6.511
CELL_PARAMETERS angstrom
-3.227 3.227 5.209
3.227 -3.227 5.209
3.227 3.227 -5.209
```